RbNaSr2Rh | Alexandria via LeMat-Bulk | GGA-PBE | relaxed; energy above the most stable polymorph in this dataset = 46 meV/atom; energy of formation = 0.080 eV/atom; symmetry = No. 123; energy = -0.1852 Ry per atom
1.0
5.833 0.000 0.000
0.000 5.833 0.000
0.000 0.000 6.669
Na Sr Rb Rh
1 2 1 1
Direct
0.500 0.500 0.500 Na
0.500 0.000 0.000 Sr
0.000 0.500 0.000 Sr
0.000 0.000 0.500 Rb
0.000 0.000 0.000 Rh